(1)
Below is a relaxed structure of ScMn2Ni2, with properties calculated at the GGA-PBE level.

Results
VASP energy: -70.83 eV per cell
D(E_F): 1.79 states/eV per atom
Magnetic moment: 0.00 μB per atom
Distance to the lowest polymorph of the same formula: 141 meV per atom

Unit cell a=7.116 b=7.116 c=2.495 alpha=90.00 beta=90.00 gamma=90.00
Space group P4/mbm (No. 127)
Asymmetric unit:
Sc 0.000 0.000 0.000
Mn 0.175 0.325 0.500
Ni 0.121 0.621 0.000

(2)
Below is a relaxed structure of Sc2TlRe, with properties calculated at the GGA-PBE level.

Results
VASP energy: -26.36 eV per cell
D(E_F): 0.97 states/eV per atom
Magnetic moment: 0.00 μB per atom

Unit cell a=5.159 b=3.023 c=5.800 alpha=90.00 beta=115.88 gamma=90.00
Space group P2/m (No. 10)
Asymmetric unit:
Sc 0.000 0.000 0.000
Sc 0.500 0.500 0.500
Tl 0.000 0.000 0.500
Re 0.500 0.500 0.000

(3)
Below is a relaxed structure of Er13Ni2, with properties calculated at the GGA-PBE level.

Results
VASP energy: -71.73 eV per cell
D(E_F): 1.45 states/eV per atom
Magnetic moment: 0.00 μB per atom

Unit cell a=6.384 b=7.975 c=9.144 alpha=65.17 beta=84.81 gamma=82.13
Space group P-1 (No. 2)
Asymmetric unit:
Er 0.000 0.000 0.000
Er 0.001 0.805 0.668
Er 0.168 0.653 0.370
Er 0.240 0.560 0.040
Er 0.299 0.365 0.770
Er 0.455 0.072 0.155
Er 0.475 0.235 0.444
Ni 0.180 0.090 0.683

(4)
Below is a relaxed structure of TbPmSmCd, with properties calculated at the GGA-PBE level.

Results
VASP energy: -60.18 eV per cell
D(E_F): 1.38 states/eV per atom
Magnetic moment: 0.00 μB per atom
Distance to the lowest polymorph of the same formula: 142 meV per atom

Unit cell a=7.808 b=7.808 c=7.808 alpha=90.00 beta=90.00 gamma=90.00
Space group F-43m (No. 216)
Asymmetric unit:
Tb 0.000 0.000 0.000
Pm 0.250 0.250 0.250
Sm 0.000 0.000 0.500
Cd 0.250 0.250 0.750

(5)
Below is a relaxed structure of Ac2Pu2S7, with properties calculated at the GGA-PBE level.

Results
VASP energy: -83.75 eV per cell
D(E_F): 1.21 states/eV per atom
Magnetic moment: 0.73 μB per atom
Raw formation energy: -1.63 eV per atom
Distance to the lowest polymorph of the same formula: 113 meV per atom

Unit cell a=4.713 b=4.713 c=13.667 alpha=90.00 beta=90.00 gamma=90.00
Space group P-4m2 (No. 115)
Asymmetric unit:
Ac 0.000 0.500 0.148
Pu 0.000 0.500 0.614
S 0.000 0.000 0.264
S 0.000 0.000 0.500
S 0.500 0.500 0.000
S 0.500 0.500 0.275
S 0.500 0.500 0.500

(6)
Below is a relaxed structure of TbPrSe, with properties calculated at the GGA-PBE level.

Results
VASP energy: -127.47 eV per cell
D(E_F): 0.74 states/eV per atom
Magnetic moment: 0.00 μB per atom
Raw formation energy: -1.01 eV per atom
Distance to the lowest polymorph of the same formula: 91 meV per atom

Unit cell a=8.759 b=10.933 c=7.660 alpha=90.00 beta=90.00 gamma=90.00
Space group Cmce (No. 64)
Asymmetric unit:
Tb 0.000 0.200 0.164
Pr 0.201 0.000 0.500
Se 0.000 0.066 0.805

(7)
Below is a relaxed structure of Be4Co5, with properties calculated at the GGA-PBE level.

Results
VASP energy: -104.07 eV per cell
D(E_F): 0.88 states/eV per atom
Magnetic moment: 0.36 μB per atom
Distance to the lowest polymorph of the same formula: 0 meV per atom

Unit cell a=6.5181 b=6.5181 c=4.4570 alpha=90.00 beta=90.00 gamma=120.00
Space group P6_3/mcm (No. 193)
Asymmetric unit:
Be 0.0000 0.0000 0.0000
Be 0.0000 0.3730 0.2500
Co 0.0000 0.2900 0.7500
Co 0.3333 0.6667 0.0000

Ρ: 7.16; 9.80; 9.10; 7.91; 6.38; 6.86; 6.70 (g/cm³)